Below is a geometry-optimized La3GaGe structure, with properties calculated at the PBE level.

Results
The value obtained for the total energy is -50.80 eV per cell. Its space-group type is Pmmn. As for the density of states at the Fermi level: 1.09 states/eV/atom. As for the spin magnetization: 0.00 μB/atom. The volume is 29.38 A^3/atom. The value obtained for the energy above the most stable polymorph in this dataset is 0.0 meV/atom. The formation enthalpy at 0 K comes out at -0.60 eV/atom.

Cell lengths 4.708, 6.826, 9.141 Å; angles 90.00, 90.00, 90.00 degrees
Sites, in units of the cell vectors:
1 Ge 0.500 0.047 0.500
2 La 0.500 0.758 0.201
3 La 0.000 0.242 0.299
4 La 0.500 0.758 0.799
5 La 0.000 0.242 0.701
6 Ga 0.500 0.439 0.500
7 Ga 0.000 0.561 0.000
8 La 0.000 0.744 0.500
9 La 0.500 0.256 0.000
10 Ge 0.000 0.953 0.000


Below is a geometry-optimized La2GaGe3 structure, with properties calculated at the PBE level.

Results
The value obtained for the total energy is -30.88 eV per cell. Its space-group type is Pmm2. As for the density of states at the Fermi level: 0.55 states/eV/atom. As for the spin magnetization: 0.00 μB/atom. The volume is 23.97 A^3/atom. The formation enthalpy at 0 K comes out at -0.69 eV/atom.

Cell lengths 4.287, 4.316, 7.772 Å; angles 90.00, 90.00, 90.00 degrees
Sites, in units of the cell vectors:
1 Ge 0.500 0.500 0.659
2 Ge 0.500 0.000 0.171
3 La 0.000 0.500 0.996
4 La 0.000 0.000 0.505
5 Ga 0.500 0.500 0.334
6 Ge 0.500 0.000 0.834


Below is a geometry-optimized La3GaGe structure, with properties calculated at the PBE level.

Results
The value obtained for the total energy is -22.61 eV per cell. Its space-group type is Pm-3m. As for the density of states at the Fermi level: 0.37 states/eV/atom. As for the spin magnetization: 0.00 μB/atom. The volume is 36.13 A^3/atom. The value obtained for the energy above the most stable polymorph in this dataset is 557.9 meV/atom. The formation enthalpy at 0 K comes out at -0.04 eV/atom.

Cell lengths 5.653, 5.653, 5.653 Å; angles 90.00, 90.00, 90.00 degrees
Sites, in units of the cell vectors:
1 La 0.500 0.000 0.000
2 La 0.000 0.500 0.000
3 Ge 0.500 0.500 0.500
4 Ga 0.000 0.000 0.000
5 La 0.000 0.000 0.500


Below is a geometry-optimized La12GaGe5 structure, with properties calculated at the PBE level.

Results
The value obtained for the total energy is -95.30 eV per cell. Its space-group type is Immm. As for the density of states at the Fermi level: 0.95 states/eV/atom. As for the spin magnetization: 0.00 μB/atom. The volume is 30.52 A^3/atom. The formation enthalpy at 0 K comes out at -0.56 eV/atom.

Cell lengths 8.941, 8.941, 8.941 Å; angles 107.51, 111.87, 109.06 degrees
Sites, in units of the cell vectors:
1 Ge 0.000 0.000 0.000
2 La 0.912 0.176 0.736
3 Ge 0.367 0.367 0.000
4 La 0.287 0.327 0.614
5 La 0.440 0.176 0.264
6 La 0.803 0.550 0.748
7 La 0.197 0.945 0.748
8 Ge 0.500 0.881 0.381
9 La 0.088 0.824 0.264
10 Ga 0.000 0.500 0.500
11 Ge 0.500 0.119 0.619
12 Ge 0.633 0.633 0.000
13 La 0.713 0.673 0.386
14 La 0.713 0.327 0.041
15 La 0.197 0.450 0.252
16 La 0.803 0.055 0.252
17 La 0.287 0.673 0.959
18 La 0.560 0.824 0.736


Below is a geometry-optimized La3Ga3Ge structure, with properties calculated at the PBE level.

Results
The value obtained for the total energy is -33.39 eV per cell. Its space-group type is Imm2. As for the density of states at the Fermi level: 0.76 states/eV/atom. As for the spin magnetization: 0.00 μB/atom. The volume is 26.16 A^3/atom. The formation enthalpy at 0 K comes out at -0.70 eV/atom.

Cell lengths 4.242, 4.498, 10.082 Å; angles 102.89, 102.14, 90.00 degrees
Sites, in units of the cell vectors:
1 Ga 0.140 0.640 0.280
2 La 0.998 0.998 0.997
3 La 0.316 0.816 0.633
4 Ge 0.436 0.436 0.871
5 Ga 0.858 0.358 0.716
6 Ga 0.567 0.567 0.134
7 La 0.685 0.185 0.369


Below is a geometry-optimized LaGaGe2 structure, with properties calculated at the PBE level.

Results
The value obtained for the total energy is -18.87 eV per cell. Its space-group type is R-3m. As for the density of states at the Fermi level: 0.46 states/eV/atom. As for the spin magnetization: 0.00 μB/atom. The volume is 22.96 A^3/atom. The value obtained for the energy above the most stable polymorph in this dataset is 64.7 meV/atom. The formation enthalpy at 0 K comes out at -0.42 eV/atom.

Cell lengths 4.543, 4.543, 5.769 Å; angles 66.81, 66.81, 60.00 degrees
Sites, in units of the cell vectors:
1 Ga 0.500 0.500 0.500
2 Ge 0.212 0.212 0.364
3 La 0.000 0.000 0.000
4 Ge 0.788 0.788 0.636


Below is a geometry-optimized La8GaGe5 structure, with properties calculated at the PBE level.

Results
The value obtained for the total energy is -76.20 eV per cell. Its space-group type is I-4. As for the density of states at the Fermi level: 0.73 states/eV/atom. As for the spin magnetization: 0.00 μB/atom. The volume is 29.40 A^3/atom. The formation enthalpy at 0 K comes out at -0.76 eV/atom.

Cell lengths 8.116, 8.116, 8.116 Å; angles 109.54, 109.33, 109.54 degrees
Sites, in units of the cell vectors:
1 Ge 0.872 0.874 0.249
2 Ge 0.002 0.377 0.128
3 Ga 0.250 0.500 0.750
4 La 0.489 0.613 0.243
5 La 0.985 0.110 0.739
6 Ge 0.751 0.623 0.625
7 La 0.629 0.890 0.874
8 La 0.126 0.754 0.015
9 La 0.757 0.245 0.370
10 La 0.261 0.246 0.371
11 Ge 0.375 0.126 0.998
12 La 0.125 0.755 0.511
13 Ge 0.500 0.000 0.500
14 La 0.630 0.387 0.875


Below is a geometry-optimized La2GaGe structure, with properties calculated at the PBE level.

Results
The value obtained for the total energy is -41.06 eV per cell. Its space-group type is P2_1/m. As for the density of states at the Fermi level: 0.70 states/eV/atom. As for the spin magnetization: 0.01 μB/atom. The volume is 27.49 A^3/atom. The formation enthalpy at 0 K comes out at -0.76 eV/atom.

Cell lengths 4.170, 6.212, 9.126 Å; angles 111.51, 90.00, 90.00 degrees
Sites, in units of the cell vectors:
1 La 0.750 0.216 0.430
2 La 0.750 0.220 0.930
3 Ge 0.250 0.356 0.713
4 Ge 0.750 0.644 0.287
5 Ga 0.750 0.642 0.785
6 Ga 0.250 0.358 0.215
7 La 0.250 0.780 0.070
8 La 0.250 0.784 0.570


Below is a geometry-optimized LaGaGe2 structure, with properties calculated at the PBE level.

Results
The value obtained for the total energy is -18.53 eV per cell. Its space-group type is Amm2. As for the density of states at the Fermi level: 0.59 states/eV/atom. As for the spin magnetization: 0.00 μB/atom. The volume is 24.54 A^3/atom. The value obtained for the energy above the most stable polymorph in this dataset is 149.9 meV/atom. The formation enthalpy at 0 K comes out at -0.33 eV/atom.

Cell lengths 4.019, 5.134, 5.134 Å; angles 112.04, 90.00, 90.00 degrees
Sites, in units of the cell vectors:
1 Ge 0.500 0.079 0.473
2 La 0.000 0.038 0.962
3 Ge 0.500 0.527 0.921
4 Ga 0.500 0.571 0.429


Below is a geometry-optimized La2Ga3Ge2 structure, with properties calculated at the PBE level.

Results
The value obtained for the total energy is -31.61 eV per cell. Its space-group type is P2/m. As for the density of states at the Fermi level: 0.70 states/eV/atom. As for the spin magnetization: 0.00 μB/atom. The volume is 24.54 A^3/atom. The value obtained for the energy above the most stable polymorph in this dataset is 133.7 meV/atom. The formation enthalpy at 0 K comes out at -0.49 eV/atom.

Cell lengths 4.272, 4.289, 9.580 Å; angles 90.00, 78.15, 90.00 degrees
Sites, in units of the cell vectors:
1 Ge 0.410 0.000 0.171
2 La 0.143 0.500 0.723
3 Ge 0.590 0.000 0.829
4 La 0.857 0.500 0.277
5 Ga 0.279 0.000 0.436
6 Ga 0.000 0.000 0.000
7 Ga 0.721 0.000 0.564